[1]
DFT (PBE-GGA) results for crystalline BaZn3In at its relaxed geometry.

Computed properties:
The value obtained for the total magnetic moment is 0.0 Bohr magnetons per cell. For the energy relative to the elements, the calculation gives 47 kJ/mol of formula units. For the total energy, the calculation gives -8.00 eV/f.u. For the density, the calculation gives 5.05 Mg/m³. As for the density of states at the Fermi level: 0.82 states/eV/atom.

Lattice parameters (Å, degrees): 5.2844 5.2844 5.2844 90.00 90.00 90.00
Space group Pm-3m (No. 221)
One atom of each set of equivalent atoms:
Ba: 0.0000 0.0000 0.0000 (multiplicity 1)
Zn: 0.0000 0.5000 0.5000 (multiplicity 3)
In: 0.5000 0.5000 0.5000 (multiplicity 1)

***

[2]
DFT (PBE-GGA) results for crystalline CaAgIr at its relaxed geometry.

Computed properties:
The value obtained for the total magnetic moment is 0.0 Bohr magnetons per cell. For the energy relative to the elements, the calculation gives 31 kJ/mol of formula units. The energy above the lowest structure with this stoichiometry is 153 meV/atom. For the total energy, the calculation gives -13.40 eV/f.u. For the density, the calculation gives 9.39 Mg/m³. As for the density of states at the Fermi level: 0.56 states/eV/atom.

Lattice parameters (Å, degrees): 3.5181 3.5181 9.7153 90.00 90.00 90.00
Space group I4mm (No. 107)
One atom of each set of equivalent atoms:
Ca: 0.0000 0.0000 0.0000 (multiplicity 2)
Ag: 0.0000 0.0000 0.6931 (multiplicity 2)
Ir: 0.0000 0.0000 0.3262 (multiplicity 2)

***

What did the first record say?
DFT (PBE-GGA) results for crystalline BaZn3In at its relaxed geometry.

Computed properties:
The value obtained for the total magnetic moment is 0.0 Bohr magnetons per cell. For the energy relative to the elements, the calculation gives 47 kJ/mol of formula units. For the total energy, the calculation gives -8.00 eV/f.u. For the density, the calculation gives 5.05 Mg/m³. As for the density of states at the Fermi level: 0.82 states/eV/atom.

Lattice parameters (Å, degrees): 5.2844 5.2844 5.2844 90.00 90.00 90.00
Space group Pm-3m (No. 221)
One atom of each set of equivalent atoms:
Ba: 0.0000 0.0000 0.0000 (multiplicity 1)
Zn: 0.0000 0.5000 0.5000 (multiplicity 3)
In: 0.5000 0.5000 0.5000 (multiplicity 1)